(1)
This record from Alexandria via LeMat-Bulk describes an optimized crystal structure of CaHg2Pb6. The functional is PBE.

CIF file:
```
data_CaHg2Pb6
_chemical_formula_sum 'Ca2 Hg4 Pb12'
_cell_length_a 11.475
_cell_length_b 4.868
_cell_length_c 10.485
_cell_angle_alpha 90.00
_cell_angle_beta 113.41
_cell_angle_gamma 90.00
_symmetry_space_group_name_H-M 'C 1 2/m 1'
_symmetry_Int_Tables_number 12
_symmetry_space_group_name_Hall '-C 2y'
loop_
_atom_site_label
_atom_site_fract_x
_atom_site_fract_y
_atom_site_fract_z
Ca1 0.000 0.000 0.000
Hg1 0.154 0.500 0.213
Pb1 0.005 0.000 0.662
Pb2 0.170 0.500 0.892
Pb3 0.177 0.500 0.569
```

***

(2)
This record from Alexandria via LeMat-Bulk describes an optimized crystal structure of Ca2Hg2Pd5Pb. The functional is PBE.

CIF file:
```
data_Ca2Hg2Pd5Pb
_chemical_formula_sum 'Ca4 Hg4 Pd10 Pb2'
_cell_length_a 10.155
_cell_length_b 10.155
_cell_length_c 4.012
_cell_angle_alpha 90.00
_cell_angle_beta 90.00
_cell_angle_gamma 90.00
_symmetry_space_group_name_H-M 'P 4/m b m'
_symmetry_Int_Tables_number 127
_symmetry_space_group_name_Hall '-P 4 2ab'
loop_
_atom_site_label
_atom_site_fract_x
_atom_site_fract_y
_atom_site_fract_z
Ca1 0.171 0.329 0.000
Hg1 0.127 0.627 0.000
Pd1 0.000 0.500 0.500
Pd2 0.064 0.803 0.500
Pb1 0.000 0.000 0.000
```

***

Q: Which V values were calculated for the entries above? A: 537.4 413.8, in Å³ per cell.
Q: Which formation enthalpy at 0 K values were calculated for the entries above? A: -0.128 -0.453, in eV/atom.
Q: Which calculated density values were calculated for the entries above? A: 10.410 9.798, in g/cm3.